# 1
First-principles (PBE-GGA) data for SmMn2Ge2C after structural relaxation, as listed in Alexandria via LeMat-Bulk.

Geometry as CIF:
```
data_SmMn2Ge2C
_space_group_name_H-M_alt 'P 1'
_space_group_IT_number 1
_cell_length_a 3.9437
_cell_length_b 3.9437
_cell_length_c 5.5165
_cell_angle_alpha 90.00
_cell_angle_beta 90.00
_cell_angle_gamma 90.00
loop_
_space_group_symop_operation_xyz
'x,y,z'
loop_
_atom_site_label
_atom_site_fract_x
_atom_site_fract_y
_atom_site_fract_z
_atom_site_occupancy
Sm1 0.0000 0.0000 0.5000 1
Mn1 0.5000 0.0000 0.0000 1
Mn2 0.0000 0.5000 0.0000 1
Ge1 0.5000 0.5000 0.7278 1
Ge2 0.5000 0.5000 0.2722 1
C1 0.0000 0.0000 0.0000 1
```

Computed properties:
Formation energy from the elements ... -202 kJ/mol of formula units
Size of the total moment ... 1.3 μB/f.u.
SG ... P4/mmm, No. 123

# 2
First-principles (PBE-GGA) data for SmMn2GeC after structural relaxation, as listed in Alexandria via LeMat-Bulk.

Geometry as CIF:
```
data_SmMn2GeC
_space_group_name_H-M_alt 'P 1'
_space_group_IT_number 1
_cell_length_a 3.8306
_cell_length_b 5.7130
_cell_length_c 7.1954
_cell_angle_alpha 90.00
_cell_angle_beta 90.00
_cell_angle_gamma 109.59
loop_
_space_group_symop_operation_xyz
'x,y,z'
loop_
_atom_site_label
_atom_site_fract_x
_atom_site_fract_y
_atom_site_fract_z
_atom_site_occupancy
Sm1 0.5431 0.0862 0.2500 1
Sm2 0.4569 0.9138 0.7500 1
Ge1 0.7359 0.4718 0.7500 1
Ge2 0.2641 0.5282 0.2500 1
Mn1 0.1656 0.3311 0.9381 1
Mn2 0.8344 0.6689 0.0619 1
Mn3 0.8344 0.6689 0.4381 1
Mn4 0.1656 0.3311 0.5619 1
C1 0.0000 0.0000 0.0000 1
C2 0.0000 0.0000 0.5000 1
```

Computed properties:
Formation energy from the elements ... -177 kJ/mol of formula units
Size of the total moment ... 3.0 μB/f.u.
SG ... Cmcm, No. 63

# 3
First-principles (PBE-GGA) data for TbMn2Ge2C after structural relaxation, as listed in Alexandria via LeMat-Bulk.

Geometry as CIF:
```
data_TbMn2Ge2C
_space_group_name_H-M_alt 'P 1'
_space_group_IT_number 1
_cell_length_a 3.9258
_cell_length_b 3.9258
_cell_length_c 5.4593
_cell_angle_alpha 90.00
_cell_angle_beta 90.00
_cell_angle_gamma 90.00
loop_
_space_group_symop_operation_xyz
'x,y,z'
loop_
_atom_site_label
_atom_site_fract_x
_atom_site_fract_y
_atom_site_fract_z
_atom_site_occupancy
Tb1 0.0000 0.0000 0.5000 1
C1 0.0000 0.0000 0.0000 1
Ge1 0.5000 0.5000 0.7259 1
Ge2 0.5000 0.5000 0.2741 1
Mn1 0.0000 0.5000 0.0000 1
Mn2 0.5000 0.0000 0.0000 1
```

Computed properties:
Formation energy from the elements ... -204 kJ/mol of formula units
Size of the total moment ... 1.3 μB/f.u.
SG ... P4/mmm, No. 123

# 4
First-principles (PBE-GGA) data for TbMn2GeC after structural relaxation, as listed in Alexandria via LeMat-Bulk.

Geometry as CIF:
```
data_TbMn2GeC
_space_group_name_H-M_alt 'P 1'
_space_group_IT_number 1
_cell_length_a 3.7616
_cell_length_b 5.6800
_cell_length_c 7.1611
_cell_angle_alpha 90.00
_cell_angle_beta 90.00
_cell_angle_gamma 109.34
loop_
_space_group_symop_operation_xyz
'x,y,z'
loop_
_atom_site_label
_atom_site_fract_x
_atom_site_fract_y
_atom_site_fract_z
_atom_site_occupancy
Mn1 0.1655 0.3311 0.9389 1
Mn2 0.8345 0.6689 0.4389 1
Mn3 0.8345 0.6689 0.0611 1
Mn4 0.1655 0.3311 0.5611 1
Tb1 0.4587 0.9174 0.7500 1
Tb2 0.5413 0.0826 0.2500 1
C1 0.0000 0.0000 0.0000 1
C2 0.0000 0.0000 0.5000 1
Ge1 0.7375 0.4750 0.7500 1
Ge2 0.2625 0.5250 0.2500 1
```

Computed properties:
Formation energy from the elements ... -195 kJ/mol of formula units
Size of the total moment ... 3.0 μB/f.u.
SG ... Cmcm, No. 63

# 5
First-principles (PBE-GGA) data for TiMn2GeC after structural relaxation, as listed in Alexandria via LeMat-Bulk.

Geometry as CIF:
```
data_TiMn2GeC
_space_group_name_H-M_alt 'P 1'
_space_group_IT_number 1
_cell_length_a 3.8319
_cell_length_b 3.8319
_cell_length_c 4.2947
_cell_angle_alpha 90.00
_cell_angle_beta 90.00
_cell_angle_gamma 90.00
loop_
_space_group_symop_operation_xyz
'x,y,z'
loop_
_atom_site_label
_atom_site_fract_x
_atom_site_fract_y
_atom_site_fract_z
_atom_site_occupancy
Ti1 0.0000 0.0000 0.5000 1
Mn1 0.0000 0.5000 0.0000 1
Mn2 0.5000 0.0000 0.0000 1
Ge1 0.5000 0.5000 0.5000 1
C1 0.0000 0.0000 0.0000 1
```

Computed properties:
Formation energy from the elements ... -116 kJ/mol of formula units
Size of the total moment ... 4.0 μB/f.u.
SG ... P4/mmm, No. 123

# 6
First-principles (PBE-GGA) data for UMn2GeC after structural relaxation, as listed in Alexandria via LeMat-Bulk.

Geometry as CIF:
```
data_UMn2GeC
_space_group_name_H-M_alt 'P 1'
_space_group_IT_number 1
_cell_length_a 3.8630
_cell_length_b 3.8630
_cell_length_c 5.0006
_cell_angle_alpha 90.00
_cell_angle_beta 90.00
_cell_angle_gamma 90.00
loop_
_space_group_symop_operation_xyz
'x,y,z'
loop_
_atom_site_label
_atom_site_fract_x
_atom_site_fract_y
_atom_site_fract_z
_atom_site_occupancy
Mn1 0.5000 0.0000 0.9612 1
Mn2 0.0000 0.5000 0.9612 1
C1 0.0000 0.0000 0.9687 1
U1 0.0000 0.0000 0.4512 1
Ge1 0.5000 0.5000 0.6577 1
```

Computed properties:
Formation energy from the elements ... 0 kJ/mol of formula units
Size of the total moment ... 0.1 μB/f.u.
SG ... P4mm, No. 99

# 7
First-principles (PBE-GGA) data for U2MnGeC after structural relaxation, as listed in Alexandria via LeMat-Bulk.

Geometry as CIF:
```
data_U2MnGeC
_space_group_name_H-M_alt 'P 1'
_space_group_IT_number 1
_cell_length_a 3.5693
_cell_length_b 5.9960
_cell_length_c 8.2495
_cell_angle_alpha 103.00
_cell_angle_beta 90.00
_cell_angle_gamma 90.00
loop_
_space_group_symop_operation_xyz
'x,y,z'
loop_
_atom_site_label
_atom_site_fract_x
_atom_site_fract_y
_atom_site_fract_z
_atom_site_occupancy
Mn1 0.2500 0.4876 0.7949 1
Mn2 0.7500 0.5124 0.2051 1
C1 0.7500 0.1717 0.1287 1
C2 0.2500 0.8283 0.8713 1
U1 0.2500 0.2520 0.3557 1
U2 0.2500 0.2225 0.9323 1
U3 0.7500 0.7480 0.6443 1
U4 0.7500 0.7775 0.0677 1
Ge1 0.7500 0.2406 0.6398 1
Ge2 0.2500 0.7594 0.3602 1
```

Computed properties:
Formation energy from the elements ... -88 kJ/mol of formula units
Size of the total moment ... 1.7 μB/f.u.
SG ... P2_1/m, No. 11

# 8
First-principles (PBE-GGA) data for U2Mn4Ge2C after structural relaxation, as listed in Alexandria via LeMat-Bulk.

Geometry as CIF:
```
data_U2Mn4Ge2C
_space_group_name_H-M_alt 'P 1'
_space_group_IT_number 1
_cell_length_a 5.5735
_cell_length_b 5.5735
_cell_length_c 5.5735
_cell_angle_alpha 93.85
_cell_angle_beta 117.80
_cell_angle_gamma 117.80
loop_
_space_group_symop_operation_xyz
'x,y,z'
loop_
_atom_site_label
_atom_site_fract_x
_atom_site_fract_y
_atom_site_fract_z
_atom_site_occupancy
C1 0.0000 0.0000 0.0000 1
Mn1 0.0000 0.7514 0.2486 1
Mn2 0.4972 0.2486 0.2486 1
Mn3 0.5028 0.7514 0.7514 1
Mn4 0.0000 0.2486 0.7514 1
U1 0.0000 0.2891 0.2891 1
U2 0.0000 0.7109 0.7109 1
Ge1 0.5000 0.7500 0.2500 1
Ge2 0.5000 0.2500 0.7500 1
```

Computed properties:
Formation energy from the elements ... 63 kJ/mol of formula units
Size of the total moment ... 0.0 μB/f.u.
SG ... I4/mmm, No. 139

# 9
First-principles (PBE-GGA) data for MnV2GeC after structural relaxation, as listed in Alexandria via LeMat-Bulk.

Geometry as CIF:
```
data_MnV2GeC
_space_group_name_H-M_alt 'P 1'
_space_group_IT_number 1
_cell_length_a 4.0010
_cell_length_b 4.0010
_cell_length_c 3.8165
_cell_angle_alpha 90.00
_cell_angle_beta 90.00
_cell_angle_gamma 90.00
loop_
_space_group_symop_operation_xyz
'x,y,z'
loop_
_atom_site_label
_atom_site_fract_x
_atom_site_fract_y
_atom_site_fract_z
_atom_site_occupancy
V1 0.5000 0.0000 0.0000 1
V2 0.0000 0.5000 0.0000 1
Mn1 0.0000 0.0000 0.5000 1
C1 0.0000 0.0000 0.0000 1
Ge1 0.5000 0.5000 0.5000 1
```

Computed properties:
Formation energy from the elements ... -80 kJ/mol of formula units
Size of the total moment ... 2.4 μB/f.u.
SG ... P4/mmm, No. 123

# 10
First-principles (PBE-GGA) data for YMn2GeC after structural relaxation, as listed in Alexandria via LeMat-Bulk.

Geometry as CIF:
```
data_YMn2GeC
_space_group_name_H-M_alt 'P 1'
_space_group_IT_number 1
_cell_length_a 3.7524
_cell_length_b 5.6778
_cell_length_c 7.1563
_cell_angle_alpha 90.00
_cell_angle_beta 90.00
_cell_angle_gamma 109.30
loop_
_space_group_symop_operation_xyz
'x,y,z'
loop_
_atom_site_label
_atom_site_fract_x
_atom_site_fract_y
_atom_site_fract_z
_atom_site_occupancy
C1 0.0000 0.0000 0.5000 1
C2 0.0000 0.0000 0.0000 1
Ge1 0.2623 0.5246 0.2500 1
Ge2 0.7377 0.4754 0.7500 1
Mn1 0.1654 0.3309 0.9390 1
Mn2 0.8346 0.6691 0.4390 1
Mn3 0.8346 0.6691 0.0610 1
Mn4 0.1654 0.3309 0.5610 1
Y1 0.4590 0.9180 0.7500 1
Y2 0.5410 0.0820 0.2500 1
```

Computed properties:
Formation energy from the elements ... -195 kJ/mol of formula units
Size of the total moment ... 3.0 μB/f.u.
SG ... Cmcm, No. 63

Look up the formation energy from the elements of the sixth one. 0 kJ/mol of formula units

The highest size of the total moment belongs to which entry? TiMn2GeC